The following is a DFT calculation (PBE-GGA) of crystalline Te2WSe at its relaxed geometry.

* space-group type: No. 166

Unit cell a=3.030 b=3.030 c=37.449 alpha=90.00 beta=90.00 gamma=120.00
Sites, in units of the cell vectors:
1 Te 0.000 0.000 0.074
2 Te 0.000 0.000 0.926
3 Te 0.333 0.667 0.592
4 Te 0.333 0.667 0.741
5 Te 0.667 0.333 0.259
6 Te 0.667 0.333 0.408
7 W 0.000 0.000 0.000
8 W 0.333 0.667 0.667
9 W 0.667 0.333 0.333
10 Se 0.000 0.000 0.500
11 Se 0.333 0.667 0.167
12 Se 0.667 0.333 0.833



The following is a DFT calculation (PBE-GGA) of crystalline TeW2Se at its relaxed geometry.

* space-group type: No. 6
* polymorph energy (0 for the lowest one): 0 meV/atom

Unit cell a=3.419 b=4.267 c=6.662 alpha=90.00 beta=90.09 gamma=90.00
Sites, in units of the cell vectors:
1 Te 0.000 0.000 0.000
2 W 0.001 0.500 0.279
3 W 0.501 0.000 0.315
4 Se 0.502 0.500 0.561



The following is a DFT calculation (PBE-GGA) of crystalline Te2WSe at its relaxed geometry.

* space-group type: No. 99

Unit cell a=3.154 b=3.154 c=10.603 alpha=90.00 beta=90.00 gamma=90.00
Sites, in units of the cell vectors:
1 Te 0.000 0.000 0.000
2 Te 0.500 0.500 0.345
3 W 0.000 0.000 0.514
4 Se 0.500 0.500 0.655



The following is a DFT calculation (PBE-GGA) of crystalline Te2WSe at its relaxed geometry.

* space-group type: No. 166

Unit cell a=3.470 b=3.470 c=27.276 alpha=90.00 beta=90.00 gamma=120.00
Sites, in units of the cell vectors:
1 Te 0.000 0.000 0.236
2 Te 0.000 0.000 0.764
3 Te 0.333 0.667 0.431
4 Te 0.333 0.667 0.903
5 Te 0.667 0.333 0.097
6 Te 0.667 0.333 0.569
7 W 0.000 0.000 0.500
8 W 0.333 0.667 0.167
9 W 0.667 0.333 0.833
10 Se 0.000 0.000 0.000
11 Se 0.333 0.667 0.667
12 Se 0.667 0.333 0.333



The following is a DFT calculation (PBE-GGA) of crystalline TeW2Se at its relaxed geometry.

* space-group type: No. 123
* polymorph energy (0 for the lowest one): 557 meV/atom

Unit cell a=3.254 b=3.254 c=6.494 alpha=90.00 beta=90.00 gamma=90.00
Sites, in units of the cell vectors:
1 Te 0.000 0.000 0.000
2 W 0.500 0.500 0.270
3 W 0.500 0.500 0.730
4 Se 0.000 0.000 0.500



The following is a DFT calculation (PBE-GGA) of crystalline TeW2Se at its relaxed geometry.

* space-group type: No. 10
* polymorph energy (0 for the lowest one): 573 meV/atom

Unit cell a=4.560 b=3.145 c=5.417 alpha=90.00 beta=113.12 gamma=90.00
Sites, in units of the cell vectors:
1 Te 0.000 0.000 0.000
2 W 0.500 0.000 0.500
3 W 0.500 0.500 0.000
4 Se 0.000 0.500 0.500



The following is a DFT calculation (PBE-GGA) of crystalline Te2WSe at its relaxed geometry.

* space-group type: No. 123

Unit cell a=4.191 b=4.191 c=5.284 alpha=90.00 beta=90.00 gamma=90.00
Sites, in units of the cell vectors:
1 Te 0.000 0.500 0.000
2 Te 0.500 0.000 0.000
3 W 0.000 0.000 0.500
4 Se 0.500 0.500 0.500



The following is a DFT calculation (PBE-GGA) of crystalline Te2WSe at its relaxed geometry.

* space-group type: No. 71

Unit cell a=3.261 b=4.502 c=13.581 alpha=90.00 beta=90.00 gamma=90.00
Sites, in units of the cell vectors:
1 Te 0.000 0.000 0.167
2 Te 0.000 0.000 0.833
3 Te 0.500 0.500 0.333
4 Te 0.500 0.500 0.667
5 W 0.000 0.500 0.500
6 W 0.500 0.000 0.000
7 Se 0.000 0.500 0.000
8 Se 0.500 0.000 0.500



Number 1: ΔE_f (raw) 0.8167 eV per atom, raw total energy -19.5 eV/f.u.. Number 2: ΔE_f (raw) 0.0994 eV per atom, raw total energy -32.1 eV/f.u.. Number 3: ΔE_f (raw) 0.0828 eV per atom, raw total energy -22.4 eV/f.u.. Number 4: ΔE_f (raw) 0.3021 eV per atom, raw total energy -21.5 eV/f.u.. Number 5: ΔE_f (raw) 0.6567 eV per atom, raw total energy -29.9 eV/f.u.. Number 6: ΔE_f (raw) 0.6727 eV per atom, raw total energy -29.8 eV/f.u.. Number 7: ΔE_f (raw) 1.1142 eV per atom, raw total energy -18.3 eV/f.u.. Number 8: ΔE_f (raw) 0.3759 eV per atom, raw total energy -21.2 eV/f.u..